Record 1
## HfHgS2 (GGA-PBE)

Data for HfHgS2 after structural relaxation.

The uncorrected formation energy comes out at -1.053 eV per atom.

It has space group P2_1/c (No. 14), with a = 9.670 Å, b = 3.599 Å, c = 14.671 Å, α = 90.00°, β = 122.10° and γ = 90.00°. The distinct sites, in fractional coordinates, are Hf at (0.144, 0.005, 0.230), Hg at (0.488, 0.504, 0.116), S at (0.157, 0.505, 0.364) and S at (0.196, 0.505, 0.140).

Record 2
## SrIrRh (GGA-PBE)

Data for SrIrRh after structural relaxation.

The formation energy is -0.27 eV/atom. As for the energy relative to the lowest polymorph listed for this composition: 0.0 meV/atom.

It has space group Imma (No. 74), with a = 5.335 Å, b = 5.571 Å, c = 7.853 Å, α = 90.00°, β = 90.00° and γ = 90.00°. The distinct sites, in fractional coordinates, are Sr at (0.000, 0.250, 0.124), Ir at (0.250, 0.250, 0.750) and Rh at (0.000, 0.000, 0.500).

Record 3
## Tl4CuF6 (GGA-PBE)

Data for Tl4CuF6 after structural relaxation.

The uncorrected formation energy comes out at -1.667 eV per atom.

It has space group P4/mnc (No. 128), with a = 7.677 Å, b = 7.677 Å, c = 7.813 Å, α = 90.00°, β = 90.00° and γ = 90.00°. The distinct sites, in fractional coordinates, are Tl at (0.166, 0.334, 0.250), Cu at (0.000, 0.000, 0.000), F at (0.000, 0.000, 0.245) and F at (0.122, 0.742, 0.000).

Record 4
## BaYPb2 (GGA-PBE)

Data for BaYPb2 after structural relaxation.

The formation energy is 0.03 eV/atom.

It has space group R3m (No. 160, hexagonal axes), with a = 3.7687 Å, b = 3.7687 Å, c = 34.6384 Å, α = 90.00°, β = 90.00° and γ = 120.00°. The distinct sites, in fractional coordinates, are Ba at (0.0000, 0.0000, 0.0000), Y at (0.0000, 0.0000, 0.2377), Pb at (0.0000, 0.0000, 0.4962) and Pb at (0.0000, 0.0000, 0.7555).

Record 5
## Ho2Al4Pd3Au (GGA-PBE)

Data for Ho2Al4Pd3Au after structural relaxation.

The formation energy is -0.81 eV/atom.

It has space group P-4m2 (No. 115), with a = 4.173 Å, b = 4.173 Å, c = 10.812 Å, α = 90.00°, β = 90.00° and γ = 90.00°. The distinct sites, in fractional coordinates, are Ho at (0.000, 0.500, 0.242), Al at (0.000, 0.000, 0.000), Al at (0.000, 0.500, 0.636), Al at (0.500, 0.500, 0.000), Pd at (0.000, 0.500, 0.864), Pd at (0.500, 0.500, 0.500) and Au at (0.000, 0.000, 0.500).

Record 6
## LaICl3 (GGA-PBE)

Data for LaICl3 after structural relaxation.

The uncorrected formation energy comes out at -1.601 eV per atom.

It has space group Pm-3m (No. 221), with a = 5.622 Å, b = 5.622 Å, c = 5.622 Å, α = 90.00°, β = 90.00° and γ = 90.00°. The distinct sites, in fractional coordinates, are La at (0.000, 0.000, 0.000), I at (0.500, 0.500, 0.500) and Cl at (0.000, 0.000, 0.500).

Record 7
## InRe2Os (GGA-PBE)

Data for InRe2Os after structural relaxation.

The formation energy is 0.30 eV/atom.

It has space group P4mm (No. 99), with a = 2.864 Å, b = 2.864 Å, c = 7.862 Å, α = 90.00°, β = 90.00° and γ = 90.00°. The distinct sites, in fractional coordinates, are In at (0.000, 0.000, 0.000), Re at (0.000, 0.000, 0.493), Re at (0.500, 0.500, 0.723) and Os at (0.500, 0.500, 0.269).

Record 8
## NpGa2F8 (GGA-PBE)

Data for NpGa2F8 after structural relaxation.

The uncorrected formation energy comes out at -2.571 eV per atom.

It has space group C2/m (No. 12), with a = 10.487 Å, b = 5.082 Å, c = 5.989 Å, α = 90.00°, β = 97.26° and γ = 90.00°. The distinct sites, in fractional coordinates, are Np at (0.000, 0.000, 0.000), Ga at (0.240, 0.000, 0.647), F at (0.098, 0.500, 0.179), F at (0.123, 0.000, 0.336) and F at (0.141, 0.239, 0.803).

Record 9
## Be2ReBr (GGA-PBE)

Data for Be2ReBr after structural relaxation.

As for the energy relative to the lowest polymorph listed for this composition: 4.7 meV/atom. The uncorrected formation energy comes out at 0.387 eV per atom.

It has space group P2/m (No. 10), with a = 3.125 Å, b = 3.100 Å, c = 5.865 Å, α = 90.00°, β = 96.35° and γ = 90.00°. The distinct sites, in fractional coordinates, are Be at (0.043, 0.000, 0.174), Re at (0.500, 0.500, 0.000) and Br at (0.500, 0.500, 0.500).

Record 10
## ScCu (GGA-PBE)

Data for ScCu after structural relaxation.

The formation energy is -0.06 eV/atom.

It has space group I4_1/amd (No. 141, origin choice 2), with a = 3.926 Å, b = 3.926 Å, c = 8.978 Å, α = 90.00°, β = 90.00° and γ = 90.00°. The distinct sites, in fractional coordinates, are Sc at (0.000, 0.250, 0.375) and Cu at (0.000, 0.250, 0.875).

Record 11
## MgCrIn4 (GGA-PBE)

Data for MgCrIn4 after structural relaxation.

The formation energy is 0.41 eV/atom.

It has space group F-43m (No. 216), with a = 8.506 Å, b = 8.506 Å, c = 8.506 Å, α = 90.00°, β = 90.00° and γ = 90.00°. The distinct sites, in fractional coordinates, are Mg at (0.000, 0.000, 0.000), Cr at (0.250, 0.250, 0.750) and In at (0.125, 0.125, 0.375).

Record 12
## Pr6Y2Tm (GGA-PBE)

Data for Pr6Y2Tm after structural relaxation.

The formation energy is 0.12 eV/atom. As for the energy relative to the lowest polymorph listed for this composition: 0.0 meV/atom.

It has space group Cmmm (No. 65), with a = 9.497 Å, b = 17.845 Å, c = 3.700 Å, α = 90.00°, β = 90.00° and γ = 90.00°. The distinct sites, in fractional coordinates, are Pr at (0.174, 0.166, 0.000), Pr at (0.186, 0.000, 0.500), Y at (0.000, 0.326, 0.500) and Tm at (0.000, 0.500, 0.000).

Record 13
## Ni2HgRh (GGA-PBE)

Data for Ni2HgRh after structural relaxation.

The formation energy is 0.23 eV/atom.

It has space group Pm (No. 6), with a = 2.769 Å, b = 4.125 Å, c = 5.208 Å, α = 90.00°, β = 105.31° and γ = 90.00°. The distinct sites, in fractional coordinates, are Ni at (0.000, 0.000, 0.000), Ni at (0.134, 0.500, 0.260), Hg at (0.389, 0.500, 0.777) and Rh at (0.723, 0.000, 0.444).

Record 14
## PmPuIn2O8 (GGA-PBE)

Data for PmPuIn2O8 after structural relaxation.

The uncorrected formation energy comes out at -2.162 eV per atom.

It has space group Cmmm (No. 65), with a = 7.132 Å, b = 7.185 Å, c = 6.868 Å, α = 90.00°, β = 90.00° and γ = 90.00°. The distinct sites, in fractional coordinates, are Pm at (0.000, 0.000, 0.000), Pu at (0.000, 0.000, 0.500), In at (0.000, 0.500, 0.248), O at (0.000, 0.186, 0.286), O at (0.185, 0.500, 0.000) and O at (0.204, 0.500, 0.500).

Record 15
## YSbCI2 (GGA-PBE)

Data for YSbCI2 after structural relaxation.

As for the energy relative to the lowest polymorph listed for this composition: 0.0 meV/atom. The uncorrected formation energy comes out at 0.593 eV per atom.

It has space group P4/mmm (No. 123), with a = 4.990 Å, b = 4.990 Å, c = 5.000 Å, α = 90.00°, β = 90.00° and γ = 90.00°. The distinct sites, in fractional coordinates, are Y at (0.000, 0.000, 0.000), Sb at (0.500, 0.500, 0.000), C at (0.500, 0.500, 0.500) and I at (0.000, 0.500, 0.500).

Record 16
## CsAgF5 (GGA-PBE)

Data for CsAgF5 after structural relaxation.

The uncorrected formation energy comes out at -1.522 eV per atom.

It has space group C2/m (No. 12), with a = 11.214 Å, b = 4.291 Å, c = 6.950 Å, α = 90.00°, β = 126.98° and γ = 90.00°. The distinct sites, in fractional coordinates, are Cs at (0.000, 0.000, 0.000), Ag at (0.000, 0.500, 0.500), F at (0.000, 0.000, 0.500), F at (0.148, 0.500, 0.437) and F at (0.154, 0.500, 0.848).

Record 17
## HfMn2H (GGA-PBE)

Data for HfMn2H after structural relaxation.

As for the energy relative to the lowest polymorph listed for this composition: 890.9 meV/atom.

It has space group Fm-3m (No. 225), with a = 5.963 Å, b = 5.963 Å, c = 5.963 Å, α = 90.00°, β = 90.00° and γ = 90.00°. The distinct sites, in fractional coordinates, are Hf at (0.000, 0.000, 0.000), Mn at (0.250, 0.250, 0.250) and H at (0.000, 0.000, 0.500).

Record 18
## Ba2Ga10Sn (GGA-PBE)

Data for Ba2Ga10Sn after structural relaxation.

The formation energy is -0.24 eV/atom.

It has space group P2_1/c (No. 14), with a = 6.021 Å, b = 6.514 Å, c = 17.358 Å, α = 90.00°, β = 107.09° and γ = 90.00°. The distinct sites, in fractional coordinates, are Ba at (0.037, 0.188, 0.120), Ga at (0.158, 0.186, 0.344), Ga at (0.265, 0.685, 0.147), Ga at (0.377, 0.018, 0.798), Ga at (0.395, 0.609, 0.808), Ga at (0.440, 0.610, 0.548) and Sn at (0.500, 0.000, 0.500).

Record 19
## NaMg2MnGa (GGA-PBE)

Data for NaMg2MnGa after structural relaxation.

The formation energy is 0.35 eV/atom.

It has space group P4/mmm (No. 123), with a = 5.260 Å, b = 5.260 Å, c = 5.022 Å, α = 90.00°, β = 90.00° and γ = 90.00°. The distinct sites, in fractional coordinates, are Na at (0.000, 0.000, 0.000), Mg at (0.000, 0.500, 0.500), Mn at (0.500, 0.500, 0.000) and Ga at (0.500, 0.500, 0.500).

Record 20
## Ce2MnH (GGA-PBE)

Data for Ce2MnH after structural relaxation.

For the energy, the calculation gives -72.743 eV/cell.

It has space group R-3m (No. 166, hexagonal axes), with a = 3.8786 Å, b = 3.8786 Å, c = 16.6690 Å, α = 90.00°, β = 90.00° and γ = 120.00°. The distinct sites, in fractional coordinates, are Ce at (0.0000, 0.0000, 0.2468), Mn at (0.0000, 0.0000, 0.0000) and H at (0.0000, 0.0000, 0.5000).